Entry from the Alexandria database: a relaxed NpAg5O5 crystal (PBE).

a b c (Å): 4.2188 5.4960 8.1429
angles (deg): 101.82 90.00 112.57
Sites, in units of the cell vectors:
Np: 0.0000 0.0000 0.0000
O: 0.1353 0.2705 0.8671
O: 0.5000 0.0000 0.0000
O: 0.8559 0.7118 0.7800
O: 0.8647 0.7295 0.1329
O: 0.1441 0.2882 0.2200
Ag: 0.3325 0.6650 0.6218
Ag: 0.0000 0.0000 0.5000
Ag: 0.3757 0.7513 0.2902
Ag: 0.6675 0.3350 0.3782
Ag: 0.6243 0.2487 0.7098

Properties
- energy relative to the elements, uncorrected (eV per atom) = -1.004
- DFT total energy (eV for the cell shown) = -63.0